[1]
# Dy2YAg2

Dy2YAg2 after structural relaxation (GGA-PBE, the Alexandria database).

Cell lengths 5.2587, 4.8658, 11.0149 Å; angles 90.00, 95.85, 90.00 degrees
Closest atoms and distances in Å follow each position.
Fractional positions:
Dy 0.1608 0.2500 0.1117  5 Ag 2.78-3.01
Dy 0.2515 0.7500 0.5063  4 Ag 2.88-2.99
Dy 0.7485 0.2500 0.4937  4 Ag 2.88-2.99
Dy 0.8392 0.7500 0.8883  5 Ag 2.78-3.01
Y 0.3019 0.2500 0.7583  1 Ag 3.14
Y 0.6981 0.7500 0.2417  1 Ag 3.14
Ag 0.2187 0.2500 0.3653  5 Dy 2.78-2.99
Ag 0.3570 0.7500 0.9910  4 Dy 2.84-3.01, 2 Ag 2.86, 1 Y 3.14
Ag 0.6430 0.2500 0.0090  4 Dy 2.84-3.01, 2 Ag 2.86, 1 Y 3.14
Ag 0.7813 0.7500 0.6347  5 Dy 2.78-2.99

Calculated values
Calculated volume = 28.04 A^3/atom
N(E_F) = 1.02 states/eV per atom
Magnetization = 0.0 μB per formula unit
Space group = No. 11
Total energy = -4.367 eV per atom
E_form = -8.9 kJ/mol of atoms


[2]
# Dy2YAg4

Dy2YAg4 after structural relaxation (GGA-PBE, the Alexandria database).

Cell lengths 7.1739, 7.1739, 7.1038 Å; angles 90.00, 90.00, 90.00 degrees
Closest atoms and distances in Å follow each position.
Fractional positions:
Dy 0.0000 0.5000 0.0000  8 Ag 3.10
Dy 0.0000 0.5000 0.5000  8 Ag 3.10
Dy 0.5000 0.0000 0.0000  8 Ag 3.10
Dy 0.5000 0.0000 0.5000  8 Ag 3.10
Y 0.0000 0.0000 0.0000  8 Ag 3.10
Y 0.5000 0.5000 0.5000  8 Ag 3.10
Ag 0.2500 0.2500 0.2500  4 Dy 3.10, 2 Y 3.10
Ag 0.2500 0.2500 0.7500  4 Dy 3.10, 2 Y 3.10
Ag 0.2500 0.7500 0.2500  4 Dy 3.10, 2 Y 3.10
Ag 0.2500 0.7500 0.7500  4 Dy 3.10, 2 Y 3.10
Ag 0.7500 0.2500 0.2500  4 Dy 3.10, 2 Y 3.10
Ag 0.7500 0.2500 0.7500  4 Dy 3.10, 2 Y 3.10
Ag 0.7500 0.7500 0.2500  2 Y 3.10, 4 Dy 3.10
Ag 0.7500 0.7500 0.7500  2 Y 3.10, 4 Dy 3.10

Calculated values
Calculated volume = 26.11 A^3/atom
N(E_F) = 0.61 states/eV per atom
Magnetization = 0.0 μB per formula unit
Space group = No. 139
Total energy = -3.963 eV per atom
E_form = -9.2 kJ/mol of atoms


[3]
# Dy3Y4Ag

Dy3Y4Ag after structural relaxation (GGA-PBE, the Alexandria database).

Cell lengths 3.5577, 3.5577, 19.0249 Å; angles 90.00, 90.00, 90.00 degrees
Closest atoms and distances in Å follow each position.
Fractional positions:
Dy 0.0000 0.0000 0.0000  4 Dy 3.56, 8 Y 3.57
Dy 0.0000 0.0000 0.2647  8 Y 3.55-3.59, 4 Dy 3.56
Dy 0.0000 0.0000 0.7353  8 Y 3.55-3.59, 4 Dy 3.56
Y 0.5000 0.5000 0.1328  8 Dy 3.55-3.57, 4 Y 3.56
Y 0.5000 0.5000 0.3992  4 Ag 3.16
Y 0.5000 0.5000 0.6008  4 Ag 3.16
Y 0.5000 0.5000 0.8672  8 Dy 3.55-3.57, 4 Y 3.56
Ag 0.0000 0.0000 0.5000  8 Y 3.16

Calculated values
Calculated volume = 30.10 A^3/atom
N(E_F) = 1.30 states/eV per atom
Magnetization = 0.0 μB per formula unit
Space group = No. 123
Total energy = -5.369 eV per atom
E_form = -5.3 kJ/mol of atoms


[4]
# DyYAg

DyYAg after structural relaxation (GGA-PBE, the Alexandria database).

Cell lengths 13.0099, 3.7538, 8.4228 Å; angles 90.00, 126.41, 90.00 degrees
Closest atoms and distances in Å follow each position.
Fractional positions:
Dy 0.1026 0.0000 0.3797  4 Ag 3.01-3.32
Dy 0.3974 0.5000 0.6203  4 Ag 3.01-3.32
Dy 0.6026 0.5000 0.3797  4 Ag 3.01-3.32
Dy 0.8974 0.0000 0.6203  4 Ag 3.01-3.32
Y 0.1485 0.5000 0.0579  3 Ag 3.03, 1 Y 3.38
Y 0.3515 0.0000 0.9421  3 Ag 3.03, 1 Y 3.38
Y 0.6485 0.0000 0.0579  3 Ag 3.03, 1 Y 3.38
Y 0.8515 0.5000 0.9421  3 Ag 3.03, 1 Y 3.38
Ag 0.1285 0.5000 0.6803  1 Ag 2.89, 2 Dy 3.01, 3 Y 3.03
Ag 0.3715 0.0000 0.3197  1 Ag 2.89, 2 Dy 3.01, 3 Y 3.03
Ag 0.6285 0.0000 0.6803  1 Ag 2.89, 2 Dy 3.01, 3 Y 3.03
Ag 0.8715 0.5000 0.3197  1 Ag 2.89, 2 Dy 3.01, 3 Y 3.03

Calculated values
Calculated volume = 27.59 A^3/atom
N(E_F) = 1.03 states/eV per atom
Magnetization = 0.0 μB per formula unit
Space group = No. 12
Total energy = -4.815 eV per atom
E_form = -17.0 kJ/mol of atoms


[5]
# DyY4Ag2

DyY4Ag2 after structural relaxation (GGA-PBE, the Alexandria database).

Cell lengths 8.8893, 8.8893, 8.8893 Å; angles 35.69, 35.69, 35.69 degrees
Closest atoms and distances in Å follow each position.
Fractional positions:
Dy 0.0000 0.0000 0.0000  2 Ag 2.81
Y 0.2292 0.2292 0.2292  4 Ag 2.91-3.15
Y 0.3746 0.3746 0.3746  3 Dy 3.31, 4 Y 3.51-3.63, 3 Ag 3.61
Y 0.6254 0.6254 0.6254  3 Dy 3.31, 4 Y 3.51-3.63, 3 Ag 3.61
Y 0.7708 0.7708 0.7708  4 Ag 2.91-3.15
Ag 0.1126 0.1126 0.1126  1 Dy 2.81, 1 Y 2.91
Ag 0.8874 0.8874 0.8874  1 Dy 2.81, 1 Y 2.91

Calculated values
Calculated volume = 30.53 A^3/atom
N(E_F) = 1.40 states/eV per atom
Magnetization = 0.0 μB per formula unit
Space group = No. 166
Total energy = -5.053 eV per atom
E_form = 10.9 kJ/mol of atoms


[6]
# DyY4Ag

DyY4Ag after structural relaxation (GGA-PBE, the Alexandria database).

Cell lengths 10.7671, 10.7671, 6.4528 Å; angles 90.00, 90.00, 150.63 degrees
Closest atoms and distances in Å follow each position.
Fractional positions:
Dy 0.1350 0.8650 0.5000  2 Ag 3.22, 5 Y 3.50-3.58
Dy 0.8650 0.1350 0.0000  2 Ag 3.22, 5 Y 3.50-3.58
Y 0.0657 0.9343 0.9997  2 Ag 3.28, 2 Dy 3.53-3.54, 4 Y 3.54-3.61
Y 0.2564 0.7436 0.8750  1 Ag 3.03, 2 Y 3.19
Y 0.3226 0.6774 0.3620  1 Ag 2.98, 3 Y 3.19-3.22
Y 0.4645 0.5355 0.1632  2 Ag 2.94-2.98, 1 Y 3.22
Y 0.5355 0.4645 0.6632  2 Ag 2.94-2.98, 1 Y 3.22
Y 0.6774 0.3226 0.8620  1 Ag 2.98, 3 Y 3.19-3.22
Y 0.7436 0.2564 0.3750  1 Ag 3.03, 2 Y 3.19
Y 0.9343 0.0657 0.4997  2 Ag 3.28, 2 Dy 3.53-3.54, 4 Y 3.54-3.61
Ag 0.3971 0.6029 0.7556  6 Y 2.94-3.28, 2 Dy 3.22
Ag 0.6029 0.3971 0.2556  6 Y 2.94-3.28, 2 Dy 3.22

Calculated values
Calculated volume = 30.57 A^3/atom
N(E_F) = 1.48 states/eV per atom
Magnetization = 0.0 μB per formula unit
Space group = No. 36
Total energy = -5.507 eV per atom
E_form = 4.3 kJ/mol of atoms


[7]
# Dy2Y2Ag

Dy2Y2Ag after structural relaxation (GGA-PBE, the Alexandria database).

Cell lengths 3.5575, 3.5575, 22.8633 Å; angles 90.00, 90.00, 90.00 degrees
Closest atoms and distances in Å follow each position.
Fractional positions:
Dy 0.0000 0.0000 0.1961  8 Dy 3.52-3.56, 4 Y 3.59
Dy 0.0000 0.0000 0.8039  8 Dy 3.52-3.56, 4 Y 3.59
Dy 0.5000 0.5000 0.3039  8 Dy 3.52-3.56, 4 Y 3.59
Dy 0.5000 0.5000 0.6961  8 Dy 3.52-3.56, 4 Y 3.59
Y 0.0000 0.0000 0.4162  4 Ag 3.16
Y 0.0000 0.0000 0.5838  4 Ag 3.16
Y 0.5000 0.5000 0.0838  4 Ag 3.16
Y 0.5000 0.5000 0.9162  4 Ag 3.16
Ag 0.0000 0.0000 0.0000  8 Y 3.16
Ag 0.5000 0.5000 0.5000  8 Y 3.16

Calculated values
Calculated volume = 28.94 A^3/atom
N(E_F) = 1.27 states/eV per atom
Magnetization = 0.0 μB per formula unit
Space group = No. 139
Total energy = -5.099 eV per atom
E_form = -9.8 kJ/mol of atoms


[8]
# DyY2Ag

DyY2Ag after structural relaxation (GGA-PBE, the Alexandria database).

Cell lengths 11.5512, 6.9700, 6.7402 Å; angles 90.00, 123.06, 90.00 degrees
Closest atoms and distances in Å follow each position.
Fractional positions:
Dy 0.0000 0.1644 0.2500  1 Ag 2.87
Dy 0.0000 0.8356 0.7500  1 Ag 2.87
Dy 0.5000 0.3356 0.7500  1 Ag 2.87
Dy 0.5000 0.6644 0.2500  1 Ag 2.87
Y 0.2072 0.4573 0.1639  1 Ag 2.89
Y 0.2072 0.5427 0.6639  1 Ag 2.89
Y 0.2928 0.0427 0.8361  1 Ag 2.89
Y 0.2928 0.9573 0.3361  1 Ag 2.89
Y 0.7072 0.0427 0.6639  1 Ag 2.89
Y 0.7072 0.9573 0.1639  1 Ag 2.89
Y 0.7928 0.4573 0.3361  1 Ag 2.89
Y 0.7928 0.5427 0.8361  1 Ag 2.89
Ag 0.0000 0.2478 0.7500  1 Dy 2.87, 2 Y 2.89
Ag 0.0000 0.7522 0.2500  1 Dy 2.87, 2 Y 2.89
Ag 0.5000 0.2522 0.2500  1 Dy 2.87, 2 Y 2.89
Ag 0.5000 0.7478 0.7500  1 Dy 2.87, 2 Y 2.89

Calculated values
Calculated volume = 28.43 A^3/atom
N(E_F) = 0.51 states/eV per atom
Magnetization = 0.0 μB per formula unit
Space group = No. 15
Total energy = -5.211 eV per atom
E_form = -11.1 kJ/mol of atoms


[9]
# Dy2YAg6

Dy2YAg6 after structural relaxation (GGA-PBE, the Alexandria database).

Cell lengths 8.5045, 8.5045, 5.3192 Å; angles 98.92, 98.92, 143.65 degrees
Closest atoms and distances in Å follow each position.
Fractional positions:
Dy 0.1649 0.8351 0.0000  10 Ag 3.06-3.13
Dy 0.8351 0.1649 0.0000  10 Ag 3.06-3.13
Y 0.0000 0.0000 0.5000  10 Ag 3.04-3.12
Ag 0.1679 0.5013 0.6654  5 Ag 3.04-3.10, 4 Dy 3.06-3.13, 1 Y 3.10
Ag 0.3383 0.3383 0.1765  5 Ag 2.99-3.12, 3 Y 3.04-3.12, 2 Dy 3.09
Ag 0.4987 0.8321 0.3346  5 Ag 3.04-3.10, 4 Dy 3.06-3.13, 1 Y 3.10
Ag 0.5013 0.1679 0.6654  5 Ag 3.04-3.10, 4 Dy 3.06-3.13, 1 Y 3.10
Ag 0.6617 0.6617 0.8235  5 Ag 2.99-3.12, 3 Y 3.04-3.12, 2 Dy 3.09
Ag 0.8321 0.4987 0.3346  5 Ag 3.04-3.10, 4 Dy 3.06-3.13, 1 Y 3.10

Calculated values
Calculated volume = 21.98 A^3/atom
N(E_F) = 0.53 states/eV per atom
Magnetization = 0.0 μB per formula unit
Space group = No. 12
Total energy = -3.893 eV per atom
E_form = -24.3 kJ/mol of atoms


[10]
# DyYAg

DyYAg after structural relaxation (GGA-PBE, the Alexandria database).

Cell lengths 5.0529, 5.0529, 3.6718 Å; angles 90.00, 90.00, 120.00 degrees
Closest atoms and distances in Å follow each position.
Fractional positions:
Dy 0.0000 0.0000 0.0000  3 Ag 3.07, 3 Y 3.37
Y 0.3333 0.6667 0.4585  3 Ag 3.09, 3 Dy 3.37
Ag 0.6667 0.3333 0.7370  3 Dy 3.07, 3 Y 3.09

Calculated values
Calculated volume = 27.06 A^3/atom
N(E_F) = 0.86 states/eV per atom
Magnetization = 0.0 μB per formula unit
Space group = No. 156
Total energy = -4.674 eV per atom
E_form = -3.3 kJ/mol of atoms


[11]
# DyY2Ag6

DyY2Ag6 after structural relaxation (GGA-PBE, the Alexandria database).

Cell lengths 8.4989, 8.4989, 5.3244 Å; angles 98.90, 98.90, 143.59 degrees
Closest atoms and distances in Å follow each position.
Fractional positions:
Dy 0.0000 0.0000 0.0000  10 Ag 3.04-3.13
Y 0.1649 0.8351 0.5000  10 Ag 3.07-3.14
Y 0.8351 0.1649 0.5000  10 Ag 3.07-3.14
Ag 0.1685 0.5003 0.1641  5 Ag 3.03-3.11, 4 Y 3.07-3.14, 1 Dy 3.09
Ag 0.3390 0.3390 0.6774  5 Ag 2.98-3.13, 3 Dy 3.04-3.13, 2 Y 3.09
Ag 0.5003 0.1685 0.1641  5 Ag 3.03-3.11, 4 Y 3.07-3.14, 1 Dy 3.09
Ag 0.4997 0.8315 0.8359  5 Ag 3.03-3.11, 4 Y 3.07-3.14, 1 Dy 3.09
Ag 0.6610 0.6610 0.3226  5 Ag 2.98-3.13, 3 Dy 3.04-3.13, 2 Y 3.09
Ag 0.8315 0.4997 0.8359  5 Ag 3.03-3.11, 4 Y 3.07-3.14, 1 Dy 3.09

Calculated values
Calculated volume = 22.03 A^3/atom
N(E_F) = 0.59 states/eV per atom
Magnetization = 0.0 μB per formula unit
Space group = No. 12
Total energy = -4.102 eV per atom
E_form = -24.4 kJ/mol of atoms


[12]
# DyYZnAg

DyYZnAg after structural relaxation (GGA-PBE, the Alexandria database).

Cell lengths 3.6049, 3.6049, 7.2116 Å; angles 90.00, 90.00, 90.00 degrees
Closest atoms and distances in Å follow each position.
Fractional positions:
Dy 0.0000 0.0000 0.0000  4 Zn 3.08, 4 Ag 3.14
Y 0.0000 0.0000 0.5140  4 Zn 3.10, 4 Ag 3.17
Zn 0.5000 0.5000 0.7591  4 Dy 3.08, 4 Y 3.10
Ag 0.5000 0.5000 0.2535  4 Dy 3.14, 4 Y 3.17

Calculated values
Calculated volume = 23.43 A^3/atom
N(E_F) = 0.87 states/eV per atom
Magnetization = 0.0 μB per formula unit
Space group = No. 99
Total energy = -4.140 eV per atom
E_form = -33.0 kJ/mol of atoms